Entry 1:
An optimized crystal structure of Li4PuZr3S8, computed with PBE.

Summary:
E = -6.566 eV per atom
density = 4.5 Mg/m³

a = 7.4004 Å, b = 7.4004 Å, c = 18.7277 Å
α = 90.00°, β = 90.00°, γ = 120.00°
Space group R-3m (No. 166, hexagonal axes)
Asymmetric unit:
Li  0.0000  0.0000  0.0000
Li  0.0000  0.5000  0.0000
Pu  0.0000  0.0000  0.5000
Zr  0.0000  0.5000  0.5000
S  0.0000  0.0000  0.2493
S  0.0123  0.5061  0.7491

---

Entry 2:
An optimized crystal structure of Li2PuZrS4, computed with PBE.

Summary:
E = -6.934 eV per atom
density = 5.1 Mg/m³

a = 6.5595 Å, b = 3.7902 Å, c = 6.5972 Å
α = 90.00°, β = 109.61°, γ = 90.00°
Space group P2/m (No. 10)
Asymmetric unit:
Li  0.0000  0.0000  0.0000
Li  0.0000  0.5000  0.5000
Pu  0.5000  0.0000  0.5000
Zr  0.5000  0.5000  0.0000
S  0.2468  0.5000  0.2337
S  0.2508  0.0000  0.7622

---

Entry 3:
An optimized crystal structure of Li3PuZr2S6, computed with PBE.

Summary:
E = -6.687 eV per atom
density = 4.7 Mg/m³

a = 6.4916 Å, b = 11.2393 Å, c = 6.5730 Å
α = 90.00°, β = 109.26°, γ = 90.00°
Space group C2/m (No. 12)
Asymmetric unit:
Li  0.0000  0.0000  0.0000
Li  0.0000  0.3336  0.0000
Pu  0.0000  0.5000  0.5000
Zr  0.0000  0.1664  0.5000
S  0.2363  0.0000  0.7529
S  0.2422  0.1742  0.2495

---

Entry 4:
An optimized crystal structure of Li3Pu3ZrS8, computed with PBE.

Summary:
E = -7.576 eV per atom
density = 5.6 Mg/m³

a = 7.8453 Å, b = 7.8453 Å, c = 18.2756 Å
α = 90.00°, β = 90.00°, γ = 120.00°
Space group R-3m (No. 166, hexagonal axes)
Asymmetric unit:
Li  0.0000  0.5000  0.0000
Pu  0.0000  0.5000  0.5000
Zr  0.0000  0.0000  0.5000
S  0.0000  0.0000  0.2501
S  0.0176  0.5088  0.2473

---

Entry 5:
An optimized crystal structure of Li3Pu2ZrS6, computed with PBE.

Summary:
E = -7.192 eV per atom
density = 5.5 Mg/m³

a = 6.6940 Å, b = 11.6124 Å, c = 6.5249 Å
α = 90.00°, β = 109.86°, γ = 90.00°
Space group C2/m (No. 12)
Asymmetric unit:
Li  0.0000  0.0000  0.0000
Li  0.0000  0.3405  0.0000
Pu  0.0000  0.1674  0.5000
Zr  0.0000  0.5000  0.5000
S  0.2369  0.5000  0.2518
S  0.2425  0.3411  0.7518

---

Entry 6:
An optimized crystal structure of Li2PuZr2S6, computed with PBE.

Summary:
E = -6.990 eV per atom
density = 4.6 Mg/m³

a = 6.5221 Å, b = 11.4016 Å, c = 6.5438 Å
α = 90.00°, β = 109.68°, γ = 90.00°
Space group C2/m (No. 12)
Asymmetric unit:
Li  0.0000  0.1675  0.0000
Pu  0.0000  0.0000  0.5000
Zr  0.0000  0.3350  0.5000
S  0.2353  0.5000  0.7461
S  0.2466  0.3234  0.2569

---

Repeat the fourth record exactly.
An optimized crystal structure of Li3Pu3ZrS8, computed with PBE.

Summary:
E = -7.576 eV per atom
density = 5.6 Mg/m³

a = 7.8453 Å, b = 7.8453 Å, c = 18.2756 Å
α = 90.00°, β = 90.00°, γ = 120.00°
Space group R-3m (No. 166, hexagonal axes)
Asymmetric unit:
Li  0.0000  0.5000  0.0000
Pu  0.0000  0.5000  0.5000
Zr  0.0000  0.0000  0.5000
S  0.0000  0.0000  0.2501
S  0.0176  0.5088  0.2473